1.
Ce5TlSnGe2 | PBE | relaxed

Cell lengths 7.8570, 7.8570, 16.1020 Å; angles 90.00, 90.00, 90.00 degrees
Closest atoms and distances in Å follow each position.
Space group I4/mcm (No. 140)
Symmetry-distinct sites (fractional):
Ce: 0.0000 0.0000 0.0000 [4 per cell]  4 Ge 3.17, 8 Ce 3.49
Ce: 0.2012 0.2988 0.1267 [16 per cell]  1 Ge 2.91, 1 Tl 2.99
Tl: 0.0000 0.5000 0.2500 [4 per cell]  4 Ce 2.99
Sn: 0.0000 0.0000 0.2500 [4 per cell]  8 Ce 3.46
Ge: 0.1120 0.3880 0.5000 [8 per cell]  1 Ge 2.49

Summary:
For the formation energy, the calculation gives -0.45 eV/atom. For the magnetic moment, the calculation gives 20.2 μB per cell. The density of states at the Fermi level comes out at 2.60 states/eV per atom.

---

2.
Cd8Ag5Hg | PBE | relaxed

Cell lengths 8.0552, 8.0552, 9.3731 Å; angles 90.00, 90.00, 90.00 degrees
Closest atoms and distances in Å follow each position.
Space group I-4 (No. 82)
Symmetry-distinct sites (fractional):
Cd: 0.0701 0.1695 0.1584 [8 per cell]  4 Ag 2.85-2.97, 3 Cd 2.95-3.04
Cd: 0.1035 0.3366 0.5048 [8 per cell]  1 Hg 2.84, 5 Ag 2.85-3.01, 3 Cd 3.00-3.12
Ag: 0.0000 0.5000 0.2500 [2 per cell]  8 Cd 2.85
Ag: 0.1214 0.2948 0.8187 [8 per cell]  7 Cd 2.92-3.01, 2 Ag 3.01
Hg: 0.0000 0.0000 0.5000 [2 per cell]  4 Cd 2.84

Summary:
For the formation energy, the calculation gives 0.04 eV/atom. For the magnetic moment, the calculation gives 0.0 μB per cell. The density of states at the Fermi level comes out at 0.39 states/eV per atom.

---

3.
LaTcPb3 | PBE | relaxed

Cell lengths 5.9746, 5.9746, 5.9746 Å; angles 90.00, 90.00, 90.00 degrees
Closest atoms and distances in Å follow each position.
Space group Pm-3m (No. 221)
Symmetry-distinct sites (fractional):
La: 0.0000 0.0000 0.0000 [1 per cell]  6 Pb 2.99
Tc: 0.5000 0.5000 0.5000 [1 per cell]  12 Pb 4.22
Pb: 0.0000 0.0000 0.5000 [3 per cell]  2 La 2.99

Summary:
For the formation energy, the calculation gives 1.78 eV/atom. For the magnetic moment, the calculation gives 0.3 μB per cell. The calculation puts the distance to the lowest polymorph of the same formula at 7.64 eV/f.u. The density of states at the Fermi level comes out at 1.71 states/eV per atom.